Material: AcTh2In
Method: DFT, PBE
State: optimized geometry

Size of the total moment   0.000 μB per cell
Energy relative to the elements   -0.0138 eV/atom
Energy above the most stable polymorph in this dataset   0.070 eV per atom

a = 3.8671 Å, b = 3.8671 Å, c = 8.9487 Å
α = 90.00°, β = 90.00°, γ = 90.00°
With the nearest neighbours (Å) after each atom.
Space group P4/mmm (No. 123)
Asymmetric unit:
1 Ac 0.0000 0.0000 0.0000 (multiplicity 1)  8 Th 3.74, 4 Ac 3.87
2 Th 0.5000 0.5000 0.2856 (multiplicity 2)  4 In 3.34
3 In 0.0000 0.0000 0.5000 (multiplicity 1)  8 Th 3.34


Material: AcThIn4
Method: DFT, PBE
State: optimized geometry

Size of the total moment   0.000 μB per cell
Energy relative to the elements   -0.3502 eV/atom
Energy above the most stable polymorph in this dataset   0.008 eV per atom

a = 5.1431 Å, b = 5.1431 Å, c = 7.5765 Å
α = 90.00°, β = 90.00°, γ = 120.00°
With the nearest neighbours (Å) after each atom.
Space group P6/mmm (No. 191)
Asymmetric unit:
1 Ac 0.0000 0.0000 0.0000 (multiplicity 1)  12 In 3.59, 2 Th 3.79
2 Th 0.0000 0.0000 0.5000 (multiplicity 1)  12 In 3.46, 2 Ac 3.79
3 In 0.3333 0.6667 0.2655 (multiplicity 4)  3 In 2.97


Material: AcThIn
Method: DFT, PBE
State: optimized geometry

Size of the total moment   0.000 μB per cell
Energy relative to the elements   -0.1090 eV/atom
Energy above the most stable polymorph in this dataset   0.000 eV per atom

a = 4.0163 Å, b = 4.0163 Å, c = 12.7091 Å
α = 90.00°, β = 90.00°, γ = 90.00°
With the nearest neighbours (Å) after each atom.
Space group I4mm (No. 107)
Asymmetric unit:
1 Ac 0.0000 0.0000 0.0000 (multiplicity 2)  4 In 3.54, 5 Th 3.78-3.86
2 Th 0.0000 0.0000 0.3040 (multiplicity 2)  4 In 3.34
3 In 0.0000 0.0000 0.6658 (multiplicity 2)  4 Th 3.34, 4 Ac 3.54


Material: AcThIn
Method: DFT, PBE
State: optimized geometry

Size of the total moment   0.000 μB per cell
Energy relative to the elements   0.2738 eV/atom
Energy above the most stable polymorph in this dataset   0.383 eV per atom

a = 4.4264 Å, b = 4.4264 Å, c = 6.4590 Å
α = 90.00°, β = 90.00°, γ = 90.00°
With the nearest neighbours (Å) after each atom.
Space group P4/mmm (No. 123)
Asymmetric unit:
1 Ac 0.0000 0.0000 0.0000 (multiplicity 1)  2 In 3.23
2 Th 0.5000 0.5000 0.5000 (multiplicity 1)  4 In 3.13
3 In 0.0000 0.0000 0.5000 (multiplicity 1)  4 Th 3.13, 2 Ac 3.23


Material: AcTh2In
Method: DFT, PBE
State: optimized geometry

Size of the total moment   0.000 μB per cell
Energy relative to the elements   0.0897 eV/atom
Energy above the most stable polymorph in this dataset   0.174 eV per atom

a = 8.0411 Å, b = 8.0411 Å, c = 8.0411 Å
α = 90.00°, β = 90.00°, γ = 90.00°
With the nearest neighbours (Å) after each atom.
Space group Fm-3m (No. 225)
Asymmetric unit:
1 Ac 0.0000 0.0000 0.0000 (multiplicity 4)  8 Th 3.48
2 Th 0.2500 0.2500 0.2500 (multiplicity 8)  4 In 3.48, 4 Ac 3.48
3 In 0.0000 0.0000 0.5000 (multiplicity 4)  8 Th 3.48


Material: AcThIn2
Method: DFT, PBE
State: optimized geometry

Size of the total moment   0.000 μB per cell
Energy relative to the elements   -0.1312 eV/atom

a = 3.8901 Å, b = 3.8901 Å, c = 30.8261 Å
α = 90.00°, β = 90.00°, γ = 120.00°
With the nearest neighbours (Å) after each atom.
Space group R-3m (No. 166, hexagonal axes)
Asymmetric unit:
1 Ac 0.0000 0.0000 0.0000 (multiplicity 3)  6 In 3.49, 6 Ac 3.89
2 Th 0.0000 0.0000 0.5000 (multiplicity 3)  6 In 3.34
3 In 0.0000 0.0000 0.2468 (multiplicity 6)  3 Th 3.34, 3 Ac 3.49


Material: AcThTlIn
Method: DFT, PBE
State: optimized geometry

Size of the total moment   0.000 μB per cell
Energy relative to the elements   -0.2102 eV/atom

a = 8.0005 Å, b = 8.0005 Å, c = 8.0005 Å
α = 90.00°, β = 90.00°, γ = 90.00°
With the nearest neighbours (Å) after each atom.
Space group F-43m (No. 216)
Asymmetric unit:
1 Ac 0.0000 0.0000 0.0000 (multiplicity 4)  4 In 3.46, 4 Tl 3.46
2 Th 0.0000 0.0000 0.5000 (multiplicity 4)  4 Tl 3.46, 4 In 3.46
3 Tl 0.2500 0.2500 0.7500 (multiplicity 4)  4 Ac 3.46, 4 Th 3.46
4 In 0.2500 0.2500 0.2500 (multiplicity 4)  4 Th 3.46, 4 Ac 3.46


Material: AcTmThIn
Method: DFT, PBE
State: optimized geometry

Size of the total moment   0.000 μB per cell
Energy relative to the elements   0.0428 eV/atom

a = 7.9447 Å, b = 7.9447 Å, c = 7.9447 Å
α = 90.00°, β = 90.00°, γ = 90.00°
With the nearest neighbours (Å) after each atom.
Space group F-43m (No. 216)
Asymmetric unit:
1 Ac 0.0000 0.0000 0.0000 (multiplicity 4)  4 Tm 3.44, 4 Th 3.44
2 Tm 0.2500 0.2500 0.7500 (multiplicity 4)  4 In 3.44, 4 Ac 3.44
3 Th 0.2500 0.2500 0.2500 (multiplicity 4)  4 Ac 3.44, 4 In 3.44
4 In 0.0000 0.0000 0.5000 (multiplicity 4)  4 Th 3.44, 4 Tm 3.44


Material: AcTiIn
Method: DFT, PBE
State: optimized geometry

Size of the total moment   0.002 μB per cell
Energy relative to the elements   0.2755 eV/atom

a = 15.8188 Å, b = 3.5005 Å, c = 6.0606 Å
α = 90.00°, β = 90.00°, γ = 90.00°
With the nearest neighbours (Å) after each atom.
Space group Amm2 (No. 38)
Asymmetric unit:
1 Ac 0.1924 0.0000 0.0000 (multiplicity 4)  3 Ti 3.32, 6 Ac 3.50, 3 In 3.65-3.66
2 Ti 0.3592 0.0000 0.3334 (multiplicity 4)  3 In 3.01, 3 Ac 3.32
3 In 0.0000 0.0000 0.3342 (multiplicity 2)  6 In 3.50, 6 Ac 3.65-3.66
4 In 0.5000 0.0000 0.9996 (multiplicity 2)  6 Ti 3.01


Material: AcTiIn2
Method: DFT, PBE
State: optimized geometry

Size of the total moment   1.086 μB per cell
Energy relative to the elements   -0.1446 eV/atom

a = 3.7376 Å, b = 3.7376 Å, c = 7.6044 Å
α = 90.00°, β = 90.00°, γ = 90.00°
With the nearest neighbours (Å) after each atom.
Space group P4/mmm (No. 123)
Asymmetric unit:
1 Ac 0.0000 0.0000 0.0000 (multiplicity 1)  8 In 3.51, 4 Ac 3.74, 2 Ti 3.80
2 Ti 0.0000 0.0000 0.5000 (multiplicity 1)  8 In 3.03
3 In 0.5000 0.5000 0.3041 (multiplicity 2)  1 In 2.98, 4 Ti 3.03